A geometry-optimized Cd3PPb structure, computed with PBE.

CIF file:
```
data_Cd3PPb
_space_group_name_H-M_alt 'P m -3 m'
_space_group_IT_number 221
_space_group_name_Hall '-P 4 2 3'
_cell_length_a 5.172
_cell_length_b 5.172
_cell_length_c 5.172
_cell_angle_alpha 90.00
_cell_angle_beta 90.00
_cell_angle_gamma 90.00
loop_
_atom_site_label
_atom_site_fract_x
_atom_site_fract_y
_atom_site_fract_z
_atom_site_occupancy
Cd1 0.000 0.000 0.500 1
P1 0.000 0.000 0.000 1
Pb1 0.500 0.500 0.500 1
```

Results
For the excess energy over the best structure of this formula in the dataset, the calculation gives 0 kJ/mol of formula units. The total energy is -2.057 eV/atom. The value obtained for the formation energy is 0.32 eV/atom.

A geometry-optimized CdPPb2 structure, computed with PBE.

CIF file:
```
data_CdPPb2
_space_group_name_H-M_alt 'P 1 2/m 1'
_space_group_IT_number 10
_cell_length_a 3.633
_cell_length_b 3.633
_cell_length_c 8.056
_cell_angle_alpha 90.00
_cell_angle_beta 91.09
_cell_angle_gamma 90.00
loop_
_space_group_symop_operation_xyz
'x,y,z'
'-x,-y,-z'
'-x,y,-z'
'x,-y,z'
loop_
_atom_site_label
_atom_site_fract_x
_atom_site_fract_y
_atom_site_fract_z
_atom_site_occupancy
Cd1 0.000 0.000 0.000 1
P1 0.000 0.000 0.500 1
Pb1 0.499 0.500 0.295 1
```

Results
For the excess energy over the best structure of this formula in the dataset, the calculation gives 35 kJ/mol of formula units. The total energy is -3.253 eV/atom. The value obtained for the formation energy is 0.18 eV/atom.

A geometry-optimized CdPPb2 structure, computed with PBE.

CIF file:
```
data_CdPPb2
_space_group_name_H-M_alt 'I -4 m 2'
_space_group_IT_number 119
_space_group_name_Hall 'I -4 -2'
_cell_length_a 4.423
_cell_length_b 4.423
_cell_length_c 10.596
_cell_angle_alpha 90.00
_cell_angle_beta 90.00
_cell_angle_gamma 90.00
loop_
_atom_site_label
_atom_site_fract_x
_atom_site_fract_y
_atom_site_fract_z
_atom_site_occupancy
Cd1 0.000 0.000 0.000 1
P1 0.000 0.500 0.750 1
Pb1 0.000 0.000 0.500 1
Pb2 0.000 0.500 0.250 1
```

Results
For the excess energy over the best structure of this formula in the dataset, the calculation gives 63 kJ/mol of formula units. The total energy is -3.180 eV/atom. The value obtained for the formation energy is 0.26 eV/atom.